First-principles (PBE) data for a relaxed Al2FeCu crystal, as listed in Alexandria via LeMat-Bulk.

For the volume, the calculation gives 103.0 Å³ per cell. Its energy is -5.24 eV per atom. The calculated formation energy comes out at -0.234 eV per atom.

The structure belongs to space group Cm (No. 8); the cell edges are 9.075, 2.800 and 4.255 Å and the angles 90.00°, 107.74° and 90.00°. The asymmetric unit holds Al at (0.000, 0.000, 0.000), Al at (0.233, 0.000, 0.638), Fe at (0.240, 0.500, 0.138) and Cu at (0.485, 0.000, 0.485).

First-principles (PBE) data for a relaxed AlFeCu crystal, as listed in Alexandria via LeMat-Bulk.

The calculation puts the energy above the lowest structure with this stoichiometry at 0.23 eV per formula unit. For the volume, the calculation gives 150.9 Å³ per cell. Its energy is -5.58 eV per atom. The calculated formation energy comes out at -0.149 eV per atom.

The structure belongs to space group C2/m (No. 12); the cell edges are 7.706, 3.737 and 5.348 Å and the angles 90.00°, 101.63° and 90.00°. The asymmetric unit holds Al at (0.003, 0.000, 0.244), Fe at (0.168, 0.500, 0.067) and Cu at (0.166, 0.500, 0.580).

First-principles (PBE) data for a relaxed Al2FeCu2 crystal, as listed in Alexandria via LeMat-Bulk.

The calculation puts the energy above the lowest structure with this stoichiometry at 0.00 eV per formula unit. For the volume, the calculation gives 129.2 Å³ per cell. Its energy is -4.99 eV per atom. The calculated formation energy comes out at -0.159 eV per atom.

The structure belongs to space group Cmmm (No. 65); the cell edges are 2.976, 15.197 and 2.856 Å and the angles 90.00°, 90.00° and 90.00°. The asymmetric unit holds Al at (0.000, 0.088, 0.000), Fe at (0.000, 0.500, 0.500) and Cu at (0.000, 0.314, 0.500).

First-principles (PBE) data for a relaxed Al2FeCu crystal, as listed in Alexandria via LeMat-Bulk.

For the volume, the calculation gives 53.0 Å³ per cell. Its energy is -5.14 eV per atom. The calculated formation energy comes out at -0.132 eV per atom.

The structure belongs to space group P2/m (No. 10); the cell edges are 4.424, 2.707 and 4.788 Å and the angles 90.00°, 112.42° and 90.00°. The asymmetric unit holds Al at (0.000, 0.000, 0.000), Al at (0.000, 0.500, 0.500), Fe at (0.500, 0.000, 0.500) and Cu at (0.500, 0.500, 0.000).

First-principles (PBE) data for a relaxed Al2FeCu crystal, as listed in Alexandria via LeMat-Bulk.

For the volume, the calculation gives 102.5 Å³ per cell. Its energy is -5.23 eV per atom. The calculated formation energy comes out at -0.218 eV per atom.

The structure belongs to space group I4/mmm (No. 139); the cell edges are 3.743, 3.743 and 7.317 Å and the angles 90.00°, 90.00° and 90.00°. The asymmetric unit holds Al at (0.000, 0.500, 0.250), Fe at (0.000, 0.000, 0.000) and Cu at (0.000, 0.000, 0.500).

First-principles (PBE) data for a relaxed AlFeCu crystal, as listed in Alexandria via LeMat-Bulk.

The calculation puts the energy above the lowest structure with this stoichiometry at 0.36 eV per formula unit. For the volume, the calculation gives 75.8 Å³ per cell. Its energy is -5.54 eV per atom. The calculated formation energy comes out at -0.106 eV per atom.

The structure belongs to space group I4mm (No. 107); the cell edges are 2.752, 2.752 and 10.011 Å and the angles 90.00°, 90.00° and 90.00°. The asymmetric unit holds Al at (0.000, 0.000, 0.000), Fe at (0.000, 0.000, 0.667) and Cu at (0.000, 0.000, 0.333).

First-principles (PBE) data for a relaxed Al6FeCu3 crystal, as listed in Alexandria via LeMat-Bulk.

For the volume, the calculation gives 290.3 Å³ per cell. Its energy is -4.51 eV per atom. The calculated formation energy comes out at -0.186 eV per atom.

The structure belongs to space group Pnnm (No. 58); the cell edges are 7.133, 9.926 and 4.099 Å and the angles 90.00°, 90.00° and 90.00°. The asymmetric unit holds Al at (0.008, 0.247, 0.000), Al at (0.149, 0.076, 0.500), Al at (0.193, 0.388, 0.500), Fe at (0.000, 0.000, 0.000), Cu at (0.000, 0.500, 0.000) and Cu at (0.165, 0.640, 0.500).

First-principles (PBE) data for a relaxed Al3FeCu crystal, as listed in Alexandria via LeMat-Bulk.

The calculation puts the energy above the lowest structure with this stoichiometry at 0.00 eV per formula unit. For the volume, the calculation gives 87.3 Å³ per cell. Its energy is -4.50 eV per atom. The calculated formation energy comes out at 0.254 eV per atom.

The structure belongs to space group Pm-3m (No. 221); the cell edges are 4.437, 4.437 and 4.437 Å and the angles 90.00°, 90.00° and 90.00°. The asymmetric unit holds Al at (0.000, 0.000, 0.500), Fe at (0.000, 0.000, 0.000) and Cu at (0.500, 0.500, 0.500).

First-principles (PBE) data for a relaxed AlFeCu crystal, as listed in Alexandria via LeMat-Bulk.

The calculation puts the energy above the lowest structure with this stoichiometry at 1.41 eV per formula unit. For the volume, the calculation gives 180.3 Å³ per cell. Its energy is -5.19 eV per atom. The calculated formation energy comes out at 0.245 eV per atom.

The structure belongs to space group F-43m (No. 216); the cell edges are 5.649, 5.649 and 5.649 Å and the angles 90.00°, 90.00° and 90.00°. The asymmetric unit holds Al at (0.000, 0.000, 0.000), Fe at (0.000, 0.000, 0.500) and Cu at (0.250, 0.250, 0.250).

First-principles (PBE) data for a relaxed AlFe2Cu crystal, as listed in Alexandria via LeMat-Bulk.

For the volume, the calculation gives 47.4 Å³ per cell. Its energy is -6.24 eV per atom. The calculated formation energy comes out at -0.046 eV per atom.

The structure belongs to space group P4mm (No. 99); the cell edges are 2.619, 2.619 and 6.905 Å and the angles 90.00°, 90.00° and 90.00°. The asymmetric unit holds Al at (0.000, 0.000, 0.000), Fe at (0.000, 0.000, 0.527), Fe at (0.500, 0.500, 0.750) and Cu at (0.500, 0.500, 0.267).

First-principles (PBE) data for a relaxed Al4Fe3Cu crystal, as listed in Alexandria via LeMat-Bulk.

For the volume, the calculation gives 97.3 Å³ per cell. Its energy is -5.87 eV per atom. The calculated formation energy comes out at -0.315 eV per atom.

The structure belongs to space group P4/mmm (No. 123); the cell edges are 2.910, 2.910 and 11.493 Å and the angles 90.00°, 90.00° and 90.00°. The asymmetric unit holds Al at (0.000, 0.000, 0.125), Al at (0.000, 0.000, 0.362), Fe at (0.500, 0.500, 0.000), Fe at (0.500, 0.500, 0.248) and Cu at (0.500, 0.500, 0.500).

First-principles (PBE) data for a relaxed AlFe2Cu crystal, as listed in Alexandria via LeMat-Bulk.

For the volume, the calculation gives 97.7 Å³ per cell. Its energy is -6.25 eV per atom. The calculated formation energy comes out at -0.064 eV per atom.

The structure belongs to space group Cm (No. 8); the cell edges are 8.476, 2.582 and 4.524 Å and the angles 90.00°, 99.19° and 90.00°. The asymmetric unit holds Al at (0.000, 0.000, 0.000), Fe at (0.002, 0.500, 0.495), Fe at (0.248, 0.500, 0.263) and Cu at (0.251, 0.000, 0.756).

First-principles (PBE) data for a relaxed AlFe3Cu crystal, as listed in Alexandria via LeMat-Bulk.

The calculation puts the energy above the lowest structure with this stoichiometry at 5.44 eV per formula unit. For the volume, the calculation gives 80.9 Å³ per cell. Its energy is -5.44 eV per atom. The calculated formation energy comes out at 1.209 eV per atom.

The structure belongs to space group Pm-3m (No. 221); the cell edges are 4.325, 4.325 and 4.325 Å and the angles 90.00°, 90.00° and 90.00°. The asymmetric unit holds Al at (0.000, 0.000, 0.000), Fe at (0.000, 0.000, 0.500) and Cu at (0.500, 0.500, 0.500).

First-principles (PBE) data for a relaxed Al2FeCu crystal, as listed in Alexandria via LeMat-Bulk.

For the volume, the calculation gives 209.3 Å³ per cell. Its energy is -5.00 eV per atom. The calculated formation energy comes out at 0.007 eV per atom.

The structure belongs to space group F-43m (No. 216); the cell edges are 5.937, 5.937 and 5.937 Å and the angles 90.00°, 90.00° and 90.00°. The asymmetric unit holds Al at (0.000, 0.000, 0.000), Al at (0.250, 0.250, 0.250), Fe at (0.000, 0.000, 0.500) and Cu at (0.250, 0.250, 0.750).

First-principles (PBE) data for a relaxed AlFeCu crystal, as listed in Alexandria via LeMat-Bulk.

The calculation puts the energy above the lowest structure with this stoichiometry at 0.00 eV per formula unit. For the volume, the calculation gives 74.6 Å³ per cell. Its energy is -5.66 eV per atom. The calculated formation energy comes out at -0.226 eV per atom.

The structure belongs to space group P4/nmm (No. 129, origin choice 2); the cell edges are 2.975, 2.975 and 8.433 Å and the angles 90.00°, 90.00° and 90.00°. The asymmetric unit holds Al at (0.250, 0.250, 0.244), Fe at (0.250, 0.250, 0.926) and Cu at (0.250, 0.250, 0.585).

First-principles (PBE) data for a relaxed AlFe6Cu crystal, as listed in Alexandria via LeMat-Bulk.

For the volume, the calculation gives 766.9 Å³ per cell. Its energy is -7.36 eV per atom. The calculated formation energy comes out at -0.029 eV per atom.

The structure belongs to space group Cmmm (No. 65); the cell edges are 7.267, 10.271 and 10.275 Å and the angles 90.00°, 90.00° and 90.00°. The asymmetric unit holds Al at (0.000, 0.000, 0.250), Al at (0.000, 0.249, 0.000), Fe at (0.000, 0.000, 0.000), Fe at (0.000, 0.000, 0.500), Fe at (0.000, 0.250, 0.251), Fe at (0.000, 0.500, 0.000), Fe at (0.000, 0.500, 0.500), Fe at (0.249, 0.375, 0.126), Fe at (0.250, 0.125, 0.375), Cu at (0.000, 0.250, 0.500) and Cu at (0.000, 0.500, 0.251).

First-principles (PBE) data for a relaxed AlFe3Cu crystal, as listed in Alexandria via LeMat-Bulk.

The calculation puts the energy above the lowest structure with this stoichiometry at 0.00 eV per formula unit. For the volume, the calculation gives 391.3 Å³ per cell. Its energy is -6.53 eV per atom. The calculated formation energy comes out at 0.120 eV per atom.

The structure belongs to space group R-3m (No. 166, hexagonal axes); the cell edges are 4.9264, 4.9264 and 18.6176 Å and the angles 90.00°, 90.00° and 120.00°. The asymmetric unit holds Al at (0.0000, 0.0000, 0.0882), Fe at (0.0041, 0.5020, 0.8856) and Cu at (0.0000, 0.0000, 0.3343).

First-principles (PBE) data for a relaxed Al3FeCu2 crystal, as listed in Alexandria via LeMat-Bulk.

For the volume, the calculation gives 307.0 Å³ per cell. Its energy is -4.91 eV per atom. The calculated formation energy comes out at -0.265 eV per atom.

The structure belongs to space group Cmmm (No. 65); the cell edges are 4.175, 12.572 and 5.849 Å and the angles 90.00°, 90.00° and 90.00°. The asymmetric unit holds Al at (0.000, 0.000, 0.242), Al at (0.000, 0.328, 0.237), Fe at (0.000, 0.163, 0.000), Cu at (0.000, 0.162, 0.500), Cu at (0.000, 0.500, 0.000) and Cu at (0.000, 0.500, 0.500).

First-principles (PBE) data for a relaxed Al2FeCu2 crystal, as listed in Alexandria via LeMat-Bulk.

The calculation puts the energy above the lowest structure with this stoichiometry at 0.52 eV per formula unit. For the volume, the calculation gives 132.4 Å³ per cell. Its energy is -4.88 eV per atom. The calculated formation energy comes out at -0.054 eV per atom.

The structure belongs to space group P4/mbm (No. 127); the cell edges are 6.936, 6.936 and 2.752 Å and the angles 90.00°, 90.00° and 90.00°. The asymmetric unit holds Al at (0.175, 0.325, 0.000), Fe at (0.000, 0.000, 0.500) and Cu at (0.125, 0.625, 0.500).

First-principles (PBE) data for a relaxed AlFe2Cu crystal, as listed in Alexandria via LeMat-Bulk.

For the volume, the calculation gives 149.0 Å³ per cell. Its energy is -6.17 eV per atom. The calculated formation energy comes out at 0.023 eV per atom.

The structure belongs to space group R3m (No. 160, hexagonal axes); the cell edges are 2.6193, 2.6193 and 25.0624 Å and the angles 90.00°, 90.00° and 120.00°. The asymmetric unit holds Al at (0.0000, 0.0000, 0.0000), Fe at (0.0000, 0.0000, 0.5836), Fe at (0.0000, 0.0000, 0.7497) and Cu at (0.0000, 0.0000, 0.1667).

First-principles (PBE) data for a relaxed AlFe2Cu crystal, as listed in Alexandria via LeMat-Bulk.

For the volume, the calculation gives 49.1 Å³ per cell. Its energy is -6.28 eV per atom. The calculated formation energy comes out at -0.088 eV per atom.

The structure belongs to space group P4mm (No. 99); the cell edges are 2.962, 2.962 and 5.601 Å and the angles 90.00°, 90.00° and 90.00°. The asymmetric unit holds Al at (0.000, 0.000, 0.000), Fe at (0.000, 0.000, 0.524), Fe at (0.500, 0.500, 0.743) and Cu at (0.500, 0.500, 0.261).

First-principles (PBE) data for a relaxed Al2FeCu crystal, as listed in Alexandria via LeMat-Bulk.

For the volume, the calculation gives 228.4 Å³ per cell. Its energy is -4.76 eV per atom. The calculated formation energy comes out at 0.255 eV per atom.

The structure belongs to space group I-42d (No. 122); the cell edges are 6.584, 6.584 and 5.268 Å and the angles 90.00°, 90.00° and 90.00°. The asymmetric unit holds Al at (0.245, 0.750, 0.125), Fe at (0.000, 0.000, 0.500) and Cu at (0.000, 0.000, 0.000).

First-principles (PBE) data for a relaxed AlFe2Cu crystal, as listed in Alexandria via LeMat-Bulk.

For the volume, the calculation gives 216.2 Å³ per cell. Its energy is -5.86 eV per atom. The calculated formation energy comes out at 0.328 eV per atom.

The structure belongs to space group I-42d (No. 122); the cell edges are 6.605, 6.605 and 4.956 Å and the angles 90.00°, 90.00° and 90.00°. The asymmetric unit holds Al at (0.000, 0.000, 0.000), Fe at (0.244, 0.250, 0.625) and Cu at (0.000, 0.000, 0.500).

First-principles (PBE) data for a relaxed Al5FeCu4 crystal, as listed in Alexandria via LeMat-Bulk.

For the volume, the calculation gives 129.7 Å³ per cell. Its energy is -4.58 eV per atom. The calculated formation energy comes out at -0.228 eV per atom.

The structure belongs to space group P4/mmm (No. 123); the cell edges are 2.986, 2.986 and 14.546 Å and the angles 90.00°, 90.00° and 90.00°. The asymmetric unit holds Al at (0.000, 0.000, 0.000), Al at (0.000, 0.000, 0.203), Al at (0.000, 0.000, 0.409), Fe at (0.500, 0.500, 0.500), Cu at (0.500, 0.500, 0.100) and Cu at (0.500, 0.500, 0.305).

First-principles (PBE) data for a relaxed Al2FeCu crystal, as listed in Alexandria via LeMat-Bulk.

For the volume, the calculation gives 52.9 Å³ per cell. Its energy is -5.15 eV per atom. The calculated formation energy comes out at -0.135 eV per atom.

The structure belongs to space group Pmm2 (No. 25); the cell edges are 2.774, 3.659 and 5.208 Å and the angles 90.00°, 90.00° and 90.00°. The asymmetric unit holds Al at (0.000, 0.000, 0.000), Al at (0.500, 0.500, 0.301), Fe at (0.500, 0.500, 0.795) and Cu at (0.000, 0.000, 0.517).